(1)
## Nd2AlB2Ir5 (PBE)

Data for a relaxed Nd2AlB2Ir5 crystal.

Unit cell a=3.1817 b=9.8033 c=9.8033 alpha=90.00 beta=90.00 gamma=90.00
Last column: nearest neighbours and their distance in Å.
Fractional positions:
Ir 0.5000 0.4328 0.2778  2 B 2.28
Al 0.0000 0.0000 0.0000  8 Ir 2.78
Ir 0.5000 0.7778 0.9328  2 B 2.28
Ir 0.5000 0.0000 0.5000  4 B 2.31
Nd 0.0000 0.6784 0.1784  3 B 2.79-2.98, 10 Ir 2.94-3.05
Ir 0.5000 0.2222 0.0672  2 B 2.28
B 0.0000 0.3796 0.1204  6 Ir 2.28-2.31
Ir 0.5000 0.2778 0.5672  2 B 2.28
B 0.0000 0.8796 0.3796  6 Ir 2.28-2.31
Ir 0.5000 0.7222 0.4328  2 B 2.28
Al 0.0000 0.5000 0.5000  8 Ir 2.78
B 0.0000 0.1204 0.6204  6 Ir 2.28-2.31
Nd 0.0000 0.8216 0.6784  3 B 2.79-2.98, 10 Ir 2.94-3.05
Ir 0.5000 0.0672 0.7778  2 B 2.28
Nd 0.0000 0.1784 0.3216  3 B 2.79-2.98, 10 Ir 2.94-3.05
Ir 0.5000 0.9328 0.2222  2 B 2.28
Ir 0.5000 0.5000 0.0000  4 B 2.31
B 0.0000 0.6204 0.8796  6 Ir 2.28-2.31
Nd 0.0000 0.3216 0.8216  3 B 2.79-2.98, 10 Ir 2.94-3.05
Ir 0.5000 0.5672 0.7222  2 B 2.28

Computed properties:
E_tot = -154.19 eV per cell
Space-group type = P4/mbm (127)

=====

(2)
## Zr2BeAl (PBE)

Data for a relaxed Zr2BeAl crystal.

Unit cell a=5.3494 b=5.3494 c=5.3494 alpha=136.32 beta=136.32 gamma=63.49
Last column: nearest neighbours and their distance in Å.
Fractional positions:
Al 0.5000 0.5000 0.0000  8 Zr 2.81-3.02, 4 Be 3.02
Zr 0.2500 0.7500 0.5000  4 Be 2.81, 4 Zr 3.02, 4 Al 3.02
Be 0.7500 0.2500 0.5000  8 Zr 2.81-3.02, 4 Al 3.02
Zr 0.0000 0.0000 0.0000  4 Al 2.81, 4 Zr 3.02, 4 Be 3.02

Computed properties:
Energy relative to the lowest polymorph listed for this composition = 50 kJ/mol of formula units
Space-group type = I-4m2 (119)

=====

(3)
## Cd2TcBrF (PBE)

Data for a relaxed Cd2TcBrF crystal.

Unit cell a=5.3828 b=4.6130 c=5.3828 alpha=90.00 beta=90.00 gamma=90.00
Last column: nearest neighbours and their distance in Å.
Fractional positions:
Cd 0.0000 0.0000 0.5000  2 Tc 2.69
F 0.5000 0.5000 0.5000  8 Cd 3.54, 4 Br 3.81
Cd 0.5000 0.0000 0.0000  2 Tc 2.69
Br 0.0000 0.5000 0.0000  2 Tc 2.31
Tc 0.0000 0.0000 0.0000  2 Br 2.31

Computed properties:
ΔE_f (raw) = 118 meV per atom
Space-group type = P4/mmm (123)

=====

(4)
## CaNdNi (PBE)

Data for a relaxed CaNdNi crystal.

Unit cell a=3.8280 b=7.0279 c=7.4996 alpha=117.89 beta=104.77 gamma=90.00
Last column: nearest neighbours and their distance in Å.
Fractional positions:
Ca 0.6786 0.6018 0.4757  2 Ni 2.89
Ni 0.8031 0.2272 0.7240  1 Ni 2.60, 4 Nd 2.86, 2 Ca 2.89
Ni 0.0072 0.4316 0.1339  1 Ni 2.60, 4 Nd 2.85-2.86, 2 Ca 2.89
Nd 0.4052 0.0912 0.9289  4 Ni 2.85-2.86
Nd 0.4055 0.5677 0.9296  4 Ni 2.85-2.86
Ca 0.1322 0.0560 0.3828  2 Ni 2.89

Computed properties:
Energy relative to the lowest polymorph listed for this composition = 23 kJ/mol of formula units
Space-group type = Cm (8)

=====

(5)
## CuTePt3 (PBE)

Data for a relaxed CuTePt3 crystal.

Unit cell a=4.6255 b=4.6255 c=4.6255 alpha=90.00 beta=90.00 gamma=90.00
Last column: nearest neighbours and their distance in Å.
Fractional positions:
Pt 0.0000 0.0000 0.5000  2 Cu 2.31
Pt 0.0000 0.5000 0.0000  2 Cu 2.31
Pt 0.5000 0.0000 0.0000  2 Cu 2.31
Cu 0.0000 0.0000 0.0000  6 Pt 2.31
Te 0.5000 0.5000 0.5000  12 Pt 3.27

Computed properties:
Energy relative to the lowest polymorph listed for this composition = 0 kJ/mol of formula units
ΔE_f (raw) = 757 meV per atom
Space-group type = Pm-3m (221)

=====

(6)
## AlCo2Se (PBE)

Data for a relaxed AlCo2Se crystal.

Unit cell a=4.1945 b=4.1945 c=4.1945 alpha=60.00 beta=60.00 gamma=60.00
Last column: nearest neighbours and their distance in Å.
Fractional positions:
Al 0.0000 0.0000 0.0000  8 Co 2.57
Co 0.2500 0.2500 0.2500  4 Se 2.57, 4 Al 2.57
Co 0.7500 0.7500 0.7500  4 Se 2.57, 4 Al 2.57
Se 0.5000 0.5000 0.5000  8 Co 2.57

Computed properties:
Energy relative to the lowest polymorph listed for this composition = 51 kJ/mol of formula units
ΔE_f (raw) = 42 meV per atom
Space-group type = Fm-3m (225)

=====

(7)
## CrCuMo2 (PBE)

Data for a relaxed CrCuMo2 crystal.

Unit cell a=3.1456 b=3.1456 c=5.6239 alpha=90.00 beta=90.00 gamma=90.00
Last column: nearest neighbours and their distance in Å.
Fractional positions:
Mo 0.0000 0.0000 0.4932  4 Cr 2.61, 4 Cu 2.65, 2 Mo 2.74-2.89
Mo 0.0000 0.0000 0.0068  4 Cr 2.61, 4 Cu 2.65, 2 Mo 2.74-2.89
Cr 0.5000 0.5000 0.2500  8 Mo 2.61, 2 Cu 2.81
Cu 0.5000 0.5000 0.7500  8 Mo 2.65, 2 Cr 2.81

Computed properties:
Energy relative to the lowest polymorph listed for this composition = 39 kJ/mol of formula units
Space-group type = P4/mmm (123)

=====

(8)
## NaMg2Sc (PBE)

Data for a relaxed NaMg2Sc crystal.

Unit cell a=3.4195 b=5.4355 c=5.4355 alpha=90.00 beta=90.00 gamma=90.00
Last column: nearest neighbours and their distance in Å.
Fractional positions:
Sc 0.5000 0.5000 0.5000  8 Mg 3.21, 2 Sc 3.42
Mg 0.0000 0.5000 0.0000  4 Na 3.21, 4 Sc 3.21, 2 Mg 3.42
Na 0.5000 0.0000 0.0000  8 Mg 3.21, 2 Na 3.42
Mg 0.0000 0.0000 0.5000  4 Na 3.21, 4 Sc 3.21, 2 Mg 3.42

Computed properties:
Energy relative to the lowest polymorph listed for this composition = 22 kJ/mol of formula units
Space-group type = P4/mmm (123)